Entry 1:
This record from the Alexandria database describes Ti3PtO after structural relaxation. The functional is PBE.

Structure (CIF):
```
data_Ti3PtO
_symmetry_space_group_name_H-M 'A m m 2'
_symmetry_Int_Tables_number 38
_cell_length_a 2.831
_cell_length_b 5.956
_cell_length_c 12.309
_cell_angle_alpha 90.00
_cell_angle_beta 90.00
_cell_angle_gamma 90.00
loop_
_symmetry_equiv_pos_as_xyz
'x,y,z'
'-x,-y,z'
'-x,y,z'
'x,-y,z'
'x,y+1/2,z+1/2'
'-x,-y+1/2,z+1/2'
'-x,y+1/2,z+1/2'
'x,-y+1/2,z+1/2'
loop_
_atom_site_label
_atom_site_type_symbol
_atom_site_fract_x
_atom_site_fract_y
_atom_site_fract_z
Ti1 Ti 0.000 0.000 0.000
Ti2 Ti 0.500 0.237 0.836
Pt1 Pt 0.500 0.000 0.177
O1 O 0.000 0.000 0.818
```

* formation energy (no corrections): -3.419 eV/f.u.
* total magnetic moment: 0.0 μB/f.u.
* density of states at the Fermi level: 11.54 states/eV per cell

Entry 2:
This record from the Alexandria database describes Cd4In10Ga after structural relaxation. The functional is PBE.

Structure (CIF):
```
data_Cd4In10Ga
_symmetry_space_group_name_H-M 'I 4/m'
_symmetry_Int_Tables_number 87
_symmetry_space_group_name_Hall '-I 4'
_cell_length_a 11.010
_cell_length_b 11.010
_cell_length_c 6.924
_cell_angle_alpha 90.00
_cell_angle_beta 90.00
_cell_angle_gamma 90.00
loop_
_atom_site_label
_atom_site_type_symbol
_atom_site_fract_x
_atom_site_fract_y
_atom_site_fract_z
Cd1 Cd 0.101 0.296 0.000
In1 In 0.000 0.500 0.250
In2 In 0.097 0.803 0.258
Ga1 Ga 0.000 0.000 0.500
```

* total magnetic moment: 0.0 μB/f.u.
* total energy: -2.22 eV per atom
* density of states at the Fermi level: 10.61 states/eV per cell

Entry 3:
This record from the Alexandria database describes AgAuF6 after structural relaxation. The functional is PBE.

Structure (CIF):
```
data_AgAuF6
_symmetry_space_group_name_H-M 'P 3 1 2'
_symmetry_Int_Tables_number 149
_cell_length_a 5.2579
_cell_length_b 5.2579
_cell_length_c 5.1392
_cell_angle_alpha 90.00
_cell_angle_beta 90.00
_cell_angle_gamma 120.00
loop_
_symmetry_equiv_pos_as_xyz
'x,y,z'
'-y,x-y,z'
'-x+y,-x,z'
'-y,-x,-z'
'-x+y,y,-z'
'x,x-y,-z'
loop_
_atom_site_label
_atom_site_type_symbol
_atom_site_fract_x
_atom_site_fract_y
_atom_site_fract_z
Ag1 Ag 0.0000 0.0000 0.0000
Au1 Au 0.6667 0.3333 0.5000
F1 F 0.3578 0.0302 0.7315
```

* formation energy (no corrections): -8.339 eV/f.u.
* offset from the most stable computed form: 7 meV/atom
* total magnetic moment: 0.0 μB/f.u.

Entry 4:
This record from the Alexandria database describes SrTa2BeMo after structural relaxation. The functional is PBE.

Structure (CIF):
```
data_SrTa2BeMo
_symmetry_space_group_name_H-M 'P 4/m m m'
_symmetry_Int_Tables_number 123
_symmetry_space_group_name_Hall '-P 4 2'
_cell_length_a 4.888
_cell_length_b 4.888
_cell_length_c 4.690
_cell_angle_alpha 90.00
_cell_angle_beta 90.00
_cell_angle_gamma 90.00
loop_
_atom_site_label
_atom_site_type_symbol
_atom_site_fract_x
_atom_site_fract_y
_atom_site_fract_z
Sr1 Sr 0.000 0.000 0.000
Ta1 Ta 0.000 0.500 0.000
Be1 Be 0.500 0.500 0.500
Mo1 Mo 0.000 0.000 0.500
```

* total magnetic moment: 0.0 μB/f.u.
* total energy: -4.79 eV per atom
* density of states at the Fermi level: 4.26 states/eV per cell

Entry 5:
This record from the Alexandria database describes Pm12Sn6P after structural relaxation. The functional is PBE.

Structure (CIF):
```
data_Pm12Sn6P
_symmetry_space_group_name_H-M 'R -3'
_symmetry_Int_Tables_number 148
_symmetry_space_group_name_Hall '-R 3'
_cell_length_a 13.4375
_cell_length_b 13.4375
_cell_length_c 12.6771
_cell_angle_alpha 90.00
_cell_angle_beta 90.00
_cell_angle_gamma 120.00
loop_
_atom_site_label
_atom_site_type_symbol
_atom_site_fract_x
_atom_site_fract_y
_atom_site_fract_z
Pm1 Pm 0.0345 0.8317 0.3929
Pm2 Pm 0.0535 0.8555 0.8804
Sn1 Sn 0.0510 0.7719 0.6477
P1 P 0.0000 0.0000 0.0000
```

* total magnetic moment: 0.0 μB/f.u.
* total energy: -5.06 eV per atom
* density of states at the Fermi level: 68.22 states/eV per cell

Entry 6:
This record from the Alexandria database describes Cs8Sb2Te after structural relaxation. The functional is PBE.

Structure (CIF):
```
data_Cs8Sb2Te
_symmetry_space_group_name_H-M 'I m m m'
_symmetry_Int_Tables_number 71
_symmetry_space_group_name_Hall '-I 2 2'
_cell_length_a 6.457
_cell_length_b 9.244
_cell_length_c 19.691
_cell_angle_alpha 90.00
_cell_angle_beta 90.00
_cell_angle_gamma 90.00
loop_
_atom_site_label
_atom_site_type_symbol
_atom_site_fract_x
_atom_site_fract_y
_atom_site_fract_z
Cs1 Cs 0.000 0.000 0.184
Cs2 Cs 0.000 0.235 0.350
Cs3 Cs 0.000 0.274 0.000
Sb1 Sb 0.000 0.500 0.181
Te1 Te 0.000 0.500 0.500
```

* formation energy (no corrections): -5.861 eV/f.u.
* total magnetic moment: 0.0 μB/f.u.

Entry 7:
This record from the Alexandria database describes Li2MnBi after structural relaxation. The functional is PBE.

Structure (CIF):
```
data_Li2MnBi
_symmetry_space_group_name_H-M 'I -4 2 d'
_symmetry_Int_Tables_number 122
_symmetry_space_group_name_Hall 'I -4 2bw'
_cell_length_a 4.092
_cell_length_b 4.092
_cell_length_c 20.192
_cell_angle_alpha 90.00
_cell_angle_beta 90.00
_cell_angle_gamma 90.00
loop_
_atom_site_label
_atom_site_type_symbol
_atom_site_fract_x
_atom_site_fract_y
_atom_site_fract_z
Li1 Li 0.247 0.250 0.125
Mn1 Mn 0.000 0.000 0.000
Bi1 Bi 0.000 0.000 0.500
```

* total magnetic moment: 3.6 μB/f.u.
* total energy: -4.09 eV per atom
* density of states at the Fermi level: 9.12 states/eV per cell

Entry 8:
This record from the Alexandria database describes Ta2V2Re after structural relaxation. The functional is PBE.

Structure (CIF):
```
data_Ta2V2Re
_symmetry_space_group_name_H-M 'P -1'
_symmetry_Int_Tables_number 2
_cell_length_a 5.207
_cell_length_b 5.242
_cell_length_c 6.374
_cell_angle_alpha 71.43
_cell_angle_beta 71.68
_cell_angle_gamma 83.81
loop_
_symmetry_equiv_pos_as_xyz
'x,y,z'
'-x,-y,-z'
loop_
_atom_site_label
_atom_site_type_symbol
_atom_site_fract_x
_atom_site_fract_y
_atom_site_fract_z
Ta1 Ta 0.105 0.199 0.052
Ta2 Ta 0.302 0.605 0.160
V1 V 0.301 0.600 0.639
V2 V 0.499 0.000 0.733
Re1 Re 0.107 0.196 0.548
```

* offset from the most stable computed form: 0 meV/atom
* total magnetic moment: 0.0 μB/f.u.
* density of states at the Fermi level: 9.56 states/eV per cell

Entry 9:
This record from the Alexandria database describes Ho2TmBe after structural relaxation. The functional is PBE.

Structure (CIF):
```
data_Ho2TmBe
_symmetry_space_group_name_H-M 'R -3 m'
_symmetry_Int_Tables_number 166
_symmetry_space_group_name_Hall '-R 3 2"'
_cell_length_a 3.3889
_cell_length_b 3.3889
_cell_length_c 33.9018
_cell_angle_alpha 90.00
_cell_angle_beta 90.00
_cell_angle_gamma 120.00
loop_
_atom_site_label
_atom_site_type_symbol
_atom_site_fract_x
_atom_site_fract_y
_atom_site_fract_z
Ho1 Ho 0.0000 0.0000 0.0847
Tm1 Tm 0.0000 0.0000 0.5000
Be1 Be 0.0000 0.0000 0.0000
```

* offset from the most stable computed form: 608 meV/atom
* total magnetic moment: 0.0 μB/f.u.
* density of states at the Fermi level: 10.45 states/eV per cell

Entry 10:
This record from the Alexandria database describes As2Se after structural relaxation. The functional is PBE.

Structure (CIF):
```
data_As2Se
_symmetry_space_group_name_H-M 'I 41/a m d'
_symmetry_Int_Tables_number 141
_cell_length_a 7.079
_cell_length_b 7.079
_cell_length_c 5.291
_cell_angle_alpha 90.00
_cell_angle_beta 90.00
_cell_angle_gamma 90.00
loop_
_symmetry_equiv_pos_as_xyz
'x,y,z'
'-x,-y,-z'
'-y+1/4,x+3/4,z+1/4'
'y+1/4,-x+3/4,-z+1/4'
'-x+1/2,-y,z+1/2'
'x+1/2,y,-z+1/2'
'y+1/4,-x+1/4,z+3/4'
'-y+1/4,x+1/4,-z+3/4'
'x,-y,-z'
'-x,y,z'
'-y+1/4,-x+1/4,-z+3/4'
'y+1/4,x+1/4,z+3/4'
'-x+1/2,y,-z+1/2'
'x+1/2,-y,z+1/2'
'y+1/4,x+3/4,-z+1/4'
'-y+1/4,-x+3/4,z+1/4'
'x+1/2,y+1/2,z+1/2'
'-x+1/2,-y+1/2,-z+1/2'
'-y+3/4,x+1/4,z+3/4'
'y+3/4,-x+1/4,-z+3/4'
'-x,-y+1/2,z'
'x,y+1/2,-z'
'y+3/4,-x+3/4,z+1/4'
'-y+3/4,x+3/4,-z+1/4'
'x+1/2,-y+1/2,-z+1/2'
'-x+1/2,y+1/2,z+1/2'
'-y+3/4,-x+3/4,-z+1/4'
'y+3/4,x+3/4,z+1/4'
'-x,y+1/2,-z'
'x,-y+1/2,z'
'y+3/4,x+1/4,-z+3/4'
'-y+3/4,-x+1/4,z+3/4'
loop_
_atom_site_label
_atom_site_type_symbol
_atom_site_fract_x
_atom_site_fract_y
_atom_site_fract_z
As1 As 0.000 0.000 0.000
Se1 Se 0.000 0.250 0.375
```

* formation energy (no corrections): 0.222 eV/f.u.
* offset from the most stable computed form: 36 meV/atom
* total magnetic moment: 0.0 μB/f.u.
* density of states at the Fermi level: 5.12 states/eV per cell